Entry 1:
# Pm3Ho2Tl | the Alexandria database | PBE | optimized geometry
# formation energy from the elements = -6.7 kJ/mol of atoms
# E above lowest polymorph = 0.040 eV/atom
data_Pm3Ho2Tl
_symmetry_space_group_name_H-M 'C 1 2/c 1'
_symmetry_Int_Tables_number 15
_cell_length_a 17.326
_cell_length_b 6.841
_cell_length_c 6.496
_cell_angle_alpha 90.00
_cell_angle_beta 99.15
_cell_angle_gamma 90.00
loop_
_symmetry_equiv_pos_as_xyz
'x,y,z'
'-x,-y,-z'
'-x,y,-z+1/2'
'x,-y,z+1/2'
'x+1/2,y+1/2,z'
'-x+1/2,-y+1/2,-z'
'-x+1/2,y+1/2,-z+1/2'
'x+1/2,-y+1/2,z+1/2'
loop_
_atom_site_label
_atom_site_fract_x
_atom_site_fract_y
_atom_site_fract_z
Pm1 0.000 0.228 0.250
Pm2 0.169 0.117 0.042
Ho1 0.162 0.391 0.572
Tl1 0.000 0.282 0.750

=====

Entry 2:
# Hf3MnW | the Alexandria database | PBE | optimized geometry
# formation energy from the elements = 146.1 kJ/mol of atoms
# E above lowest polymorph = 0.697 eV/atom
data_Hf3MnW
_symmetry_space_group_name_H-M 'P m -3 m'
_symmetry_Int_Tables_number 221
_symmetry_space_group_name_Hall '-P 4 2 3'
_cell_length_a 4.993
_cell_length_b 4.993
_cell_length_c 4.993
_cell_angle_alpha 90.00
_cell_angle_beta 90.00
_cell_angle_gamma 90.00
loop_
_atom_site_label
_atom_site_fract_x
_atom_site_fract_y
_atom_site_fract_z
Hf1 0.000 0.000 0.500
Mn1 0.500 0.500 0.500
W1 0.000 0.000 0.000

=====

Entry 3:
# Pu3GeS6 | the Alexandria database | PBE | optimized geometry
# energy relative to the elements, uncorrected = -1.272 eV per atom
data_Pu3GeS6
_symmetry_space_group_name_H-M 'C m c 21'
_symmetry_Int_Tables_number 36
_cell_length_a 10.606
_cell_length_b 13.243
_cell_length_c 6.787
_cell_angle_alpha 90.00
_cell_angle_beta 90.00
_cell_angle_gamma 90.00
loop_
_symmetry_equiv_pos_as_xyz
'x,y,z'
'-x,-y,z+1/2'
'-x,y,z'
'x,-y,z+1/2'
'x+1/2,y+1/2,z'
'-x+1/2,-y+1/2,z+1/2'
'-x+1/2,y+1/2,z'
'x+1/2,-y+1/2,z+1/2'
loop_
_atom_site_label
_atom_site_fract_x
_atom_site_fract_y
_atom_site_fract_z
Pu1 0.000 0.105 0.000
Pu2 0.184 0.398 0.926
Ge1 0.000 0.320 0.381
S1 0.000 0.276 0.773
S2 0.000 0.479 0.180
S3 0.162 0.024 0.714
S4 0.166 0.237 0.205

=====

Entry 4:
# ZnAg2Ru | the Alexandria database | PBE | optimized geometry
# formation energy from the elements = 27.4 kJ/mol of atoms
data_ZnAg2Ru
_symmetry_space_group_name_H-M 'P m m m'
_symmetry_Int_Tables_number 47
_cell_length_a 3.159
_cell_length_b 4.388
_cell_length_c 4.577
_cell_angle_alpha 90.00
_cell_angle_beta 90.00
_cell_angle_gamma 90.00
loop_
_symmetry_equiv_pos_as_xyz
'x,y,z'
'-x,-y,-z'
'-x,-y,z'
'x,y,-z'
'x,-y,-z'
'-x,y,z'
'-x,y,-z'
'x,-y,z'
loop_
_atom_site_label
_atom_site_fract_x
_atom_site_fract_y
_atom_site_fract_z
Zn1 0.000 0.000 0.000
Ag1 0.000 0.500 0.500
Ag2 0.500 0.000 0.500
Ru1 0.500 0.500 0.000

=====

Entry 5:
# Tm4ScCu | the Alexandria database | PBE | optimized geometry
# formation energy from the elements = -5.3 kJ/mol of atoms
# E above lowest polymorph = 0.000 eV/atom
data_Tm4ScCu
_symmetry_space_group_name_H-M 'P 4/m m m'
_symmetry_Int_Tables_number 123
_symmetry_space_group_name_Hall '-P 4 2'
_cell_length_a 3.410
_cell_length_b 3.410
_cell_length_c 13.374
_cell_angle_alpha 90.00
_cell_angle_beta 90.00
_cell_angle_gamma 90.00
loop_
_atom_site_label
_atom_site_fract_x
_atom_site_fract_y
_atom_site_fract_z
Tm1 0.000 0.000 0.128
Tm2 0.500 0.500 0.325
Sc1 0.000 0.000 0.500
Cu1 0.500 0.500 0.000

=====

Entry 6:
# Tb3Nd2PuSe6 | the Alexandria database | PBE | optimized geometry
# energy relative to the elements, uncorrected = -1.773 eV per atom
data_Tb3Nd2PuSe6
_symmetry_space_group_name_H-M 'C 1 2/m 1'
_symmetry_Int_Tables_number 12
_cell_length_a 18.119
_cell_length_b 4.119
_cell_length_c 8.357
_cell_angle_alpha 90.00
_cell_angle_beta 103.81
_cell_angle_gamma 90.00
loop_
_symmetry_equiv_pos_as_xyz
'x,y,z'
'-x,-y,-z'
'-x,y,-z'
'x,-y,z'
'x+1/2,y+1/2,z'
'-x+1/2,-y+1/2,-z'
'-x+1/2,y+1/2,-z'
'x+1/2,-y+1/2,z'
loop_
_atom_site_label
_atom_site_fract_x
_atom_site_fract_y
_atom_site_fract_z
Tb1 0.000 0.000 0.000
Tb2 0.167 0.500 0.336
Nd1 0.166 0.500 0.832
Pu1 0.000 0.000 0.500
Se1 0.003 0.500 0.249
Se2 0.164 0.000 0.090
Se3 0.167 0.000 0.576

=====

Entry 7:
# TlCrW2 | the Alexandria database | PBE | optimized geometry
# formation energy from the elements = 63.7 kJ/mol of atoms
# E above lowest polymorph = 0.053 eV/atom
data_TlCrW2
_symmetry_space_group_name_H-M 'I m m m'
_symmetry_Int_Tables_number 71
_symmetry_space_group_name_Hall '-I 2 2'
_cell_length_a 3.208
_cell_length_b 4.483
_cell_length_c 9.164
_cell_angle_alpha 90.00
_cell_angle_beta 90.00
_cell_angle_gamma 90.00
loop_
_atom_site_label
_atom_site_fract_x
_atom_site_fract_y
_atom_site_fract_z
Tl1 0.000 0.000 0.000
Cr1 0.000 0.000 0.500
W1 0.000 0.500 0.232

=====

Entry 8:
A relaxed structure of Y2MgHAu, computed with PBE.

Cell and atoms, written as CIF:
```
data_Y2MgHAu
_symmetry_space_group_name_H-M 'P 4/m m m'
_symmetry_Int_Tables_number 123
_symmetry_space_group_name_Hall '-P 4 2'
_cell_length_a 4.857
_cell_length_b 4.857
_cell_length_c 4.179
_cell_angle_alpha 90.00
_cell_angle_beta 90.00
_cell_angle_gamma 90.00
loop_
_atom_site_label
_atom_site_fract_x
_atom_site_fract_y
_atom_site_fract_z
Y1 0.000 0.500 0.000
Mg1 0.000 0.000 0.500
H1 0.000 0.000 0.000
Au1 0.500 0.500 0.500
```

=====

Entry 9:
# Ag2MoRh | the Alexandria database | PBE | optimized geometry
# formation energy from the elements = 39.8 kJ/mol of atoms
# E above lowest polymorph = 0.294 eV/atom
data_Ag2MoRh
_symmetry_space_group_name_H-M 'R -3 m'
_symmetry_Int_Tables_number 166
_symmetry_space_group_name_Hall '-R 3 2"'
_cell_length_a 2.7925
_cell_length_b 2.7925
_cell_length_c 28.8141
_cell_angle_alpha 90.00
_cell_angle_beta 90.00
_cell_angle_gamma 120.00
loop_
_atom_site_label
_atom_site_fract_x
_atom_site_fract_y
_atom_site_fract_z
Ag1 0.0000 0.0000 0.2489
Mo1 0.0000 0.0000 0.0000
Rh1 0.0000 0.0000 0.5000

=====

Entry 10:
# Pr2DyEr2Mg5 | the Alexandria database | PBE | optimized geometry
# formation energy from the elements = 2.5 kJ/mol of atoms
data_Pr2DyEr2Mg5
_symmetry_space_group_name_H-M 'P 4/m b m'
_symmetry_Int_Tables_number 127
_symmetry_space_group_name_Hall '-P 4 2ab'
_cell_length_a 10.634
_cell_length_b 10.634
_cell_length_c 5.078
_cell_angle_alpha 90.00
_cell_angle_beta 90.00
_cell_angle_gamma 90.00
loop_
_atom_site_label
_atom_site_fract_x
_atom_site_fract_y
_atom_site_fract_z
Pr1 0.177 0.323 0.000
Dy1 0.000 0.000 0.000
Er1 0.120 0.620 0.000
Mg1 0.000 0.500 0.500
Mg2 0.070 0.801 0.500

=====

Entry 11:
# TiW | the Alexandria database | PBE | optimized geometry
# formation energy from the elements = 30.1 kJ/mol of atoms
data_TiW
_symmetry_space_group_name_H-M 'I 4/m m m'
_symmetry_Int_Tables_number 139
_symmetry_space_group_name_Hall '-I 4 2'
_cell_length_a 7.773
_cell_length_b 7.773
_cell_length_c 4.680
_cell_angle_alpha 90.00
_cell_angle_beta 90.00
_cell_angle_gamma 90.00
loop_
_atom_site_label
_atom_site_fract_x
_atom_site_fract_y
_atom_site_fract_z
Ti1 0.000 0.310 0.000
W1 0.166 0.166 0.500

=====

Entry 12:
A relaxed structure of VCr2H6, computed with PBE.

Cell and atoms, written as CIF:
```
data_VCr2H6
_symmetry_space_group_name_H-M 'I m m m'
_symmetry_Int_Tables_number 71
_symmetry_space_group_name_Hall '-I 2 2'
_cell_length_a 2.941
_cell_length_b 4.158
_cell_length_c 8.801
_cell_angle_alpha 90.00
_cell_angle_beta 90.00
_cell_angle_gamma 90.00
loop_
_atom_site_label
_atom_site_fract_x
_atom_site_fract_y
_atom_site_fract_z
V1 0.000 0.000 0.000
Cr1 0.000 0.000 0.335
H1 0.000 0.243 0.500
H2 0.000 0.255 0.170
```

=====

Taking the records one at a time from the top gives VASP energy values of -4.37, -8.88, -8.51, -3.78, -4.77, -6.66, -8.81, -4.66, -5.56, -3.10, -10.11, -5.45 eV/atom.
Taking the records one at a time from the top gives total moment values of 0.0, 0.1, 4.8, 0.0, 0.0, 6.0, 1.0, 0.5, 0.4, 0.0, 0.0, 2.4 μB/f.u..
Taking the records one at a time from the top gives volume values of 31.67, 24.90, 23.83, 15.86, 25.92, 25.24, 16.48, 19.72, 16.22, 28.71, 17.67, 5.98 A^3/atom.